LuHgH: relaxed, PBE.

Lattice parameters (Å, degrees): 6.8519 6.8519 6.8519 97.86 97.86 97.86
Atoms (fractional coordinates):
1 Lu 0.0947 0.6711 0.8379
2 Lu 0.1621 0.9053 0.3289
3 Lu 0.3289 0.1621 0.9053
4 Lu 0.6711 0.8379 0.0947
5 Lu 0.8379 0.0947 0.6711
6 Lu 0.9053 0.3289 0.1621
7 Hg 0.2087 0.3541 0.5427
8 Hg 0.3541 0.5427 0.2087
9 Hg 0.4573 0.7913 0.6459
10 Hg 0.5427 0.2087 0.3541
11 Hg 0.6459 0.4573 0.7913
12 Hg 0.7913 0.6459 0.4573
13 H 0.0470 0.2646 0.9110
14 H 0.0890 0.9530 0.7354
15 H 0.2646 0.9110 0.0470
16 H 0.7354 0.0890 0.9530
17 H 0.9110 0.0470 0.2646
18 H 0.9530 0.7354 0.0890

Properties
- Offset from the most stable computed form: 0 meV/atom
- DOS at the Fermi energy: 4.6 states/eV per cell
- SG: No. 148
- E_tot: -3.168 eV/atom

***

LaCrIr2: relaxed, PBE.

Lattice parameters (Å, degrees): 4.9535 4.9535 5.4423 99.90 99.90 35.63
Atoms (fractional coordinates):
1 La 0.0000 0.0000 0.0000
2 Cr 0.2187 0.2187 0.6232
3 Ir 0.4931 0.4931 0.5147
4 Ir 0.7593 0.7593 0.2767

Properties
- Calculated formation energy: 0.03 eV per atom
- Offset from the most stable computed form: 259 meV/atom
- DOS at the Fermi energy: 3.3 states/eV per cell
- SG: No. 8
- E_tot: -8.035 eV/atom